(1)
Density functional theory data (PBEsol) for a geometry-optimized Cr5Cd structure.

Lattice parameters (Å, degrees): 4.7341 4.7341 4.7341 60.00 60.00 60.00
Closest atoms and distances in Å follow each position.
Atoms (fractional coordinates):
Cd (0.0000, 0.0000, 0.0000)  16 Cr 2.77-2.90
Cr (0.3743, 0.3743, 0.3743)  6 Cr 2.35-2.38
Cr (0.7500, 0.7500, 0.7500)  12 Cr 2.78, 4 Cd 2.90
Cr (0.8770, 0.3743, 0.3743)  6 Cr 2.35-2.38
Cr (0.3743, 0.8770, 0.3743)  6 Cr 2.35-2.38
Cr (0.3743, 0.3743, 0.8770)  6 Cr 2.35-2.38

Output
Space group: F-43m
DFT formation energy (eV/atom): 0.36
ρ (g/cm³): 8.2

---

(2)
Density functional theory data (PBEsol) for a geometry-optimized Cs2Cr4CdH4O16 structure.

Lattice parameters (Å, degrees): 7.5516 7.9166 7.9593 90.76 117.74 97.27
Closest atoms and distances in Å follow each position.
Atoms (fractional coordinates):
Cs (0.7388, 0.8342, 0.2544)  7 O 2.95-3.26, 1 H 3.25
Cs (0.2612, 0.1658, 0.7456)  7 O 2.95-3.26, 1 H 3.25
Cr (0.2602, 0.6694, 0.5017)  4 O 1.59-1.76
Cr (0.7398, 0.3306, 0.4983)  4 O 1.59-1.76
Cr (0.7078, 0.8551, 0.7535)  4 O 1.60-1.76
Cr (0.2922, 0.1449, 0.2465)  4 O 1.60-1.76
Cd (0.0000, 0.5000, 0.0000)  6 O 2.24-2.32
H (0.7511, 0.1966, 0.9700)  1 O 1.01
H (0.8044, 0.2922, 0.1693)  1 O 1.01
H (0.1956, 0.7078, 0.8307)  1 O 1.01
H (0.2489, 0.8034, 0.0300)  1 O 1.01
O (0.8816, 0.9327, 0.7029)  1 Cr 1.60
O (0.1184, 0.0673, 0.2971)  1 Cr 1.60
O (0.7717, 0.3130, 0.0340)  2 H 1.01
O (0.8276, 0.2375, 0.3758)  1 Cr 1.63, 1 H 1.64
O (0.5132, 0.2068, 0.4642)  2 Cr 1.76
O (0.9055, 0.3457, 0.7241)  1 Cr 1.63
O (0.6934, 0.5147, 0.4263)  1 Cr 1.59
O (0.1724, 0.7625, 0.6242)  1 Cr 1.63, 1 H 1.64
O (0.4868, 0.7932, 0.5358)  2 Cr 1.76
O (0.7689, 0.6904, 0.8775)  1 Cr 1.63
O (0.0945, 0.6543, 0.2759)  1 Cr 1.63
O (0.3343, 0.0026, 0.1249)  1 Cr 1.63, 1 H 1.65
O (0.6657, 0.9974, 0.8751)  1 Cr 1.63, 1 H 1.65
O (0.2283, 0.6870, 0.9660)  2 H 1.01
O (0.3066, 0.4853, 0.5737)  1 Cr 1.59
O (0.2311, 0.3096, 0.1225)  1 Cr 1.63

Output
Final energy (eV per cell): -184.89
Space group: P-1
ρ (g/cm³): 3.4

---

(3)
Density functional theory data (PBEsol) for a geometry-optimized Cr6CdCu2O12 structure.

Lattice parameters (Å, degrees): 5.9164 8.3501 10.2395 114.06 106.79 90.00
Closest atoms and distances in Å follow each position.
Atoms (fractional coordinates):
Cr (0.2505, 0.6262, 0.5009)  6 O 1.97-1.98
Cr (0.5820, 0.9501, 0.1639)  6 O 1.94-1.98
Cr (0.9193, 0.2973, 0.8386)  6 O 1.96-2.00
Cr (0.7495, 0.1253, 0.4991)  6 O 1.97-1.98
Cr (0.0807, 0.4587, 0.1614)  6 O 1.96-2.00
Cr (0.4180, 0.7862, 0.8361)  6 O 1.94-1.98
Cr (0.4132, 0.7935, 0.3274)  6 O 1.96-1.99
Cr (0.7564, 0.1184, 0.0000)  6 O 1.96-1.99
Cr (0.0858, 0.4661, 0.6726)  6 O 1.96-1.99
Cr (0.5868, 0.4661, 0.6726)  6 O 1.96-1.99
Cr (0.9142, 0.7935, 0.3274)  6 O 1.96-1.99
Cr (0.2436, 0.1184, 0.0000)  6 O 1.96-1.99
Cd (0.3346, 0.0838, 0.6692)  4 O 2.11
Cd (0.6654, 0.4145, 0.3308)  4 O 2.11
Cu (0.0000, 0.7513, 0.0000)  4 O 1.97
Cu (0.1677, 0.1689, 0.3354)  4 O 2.01-2.02
Cu (0.5000, 0.4965, 0.0000)  4 O 1.99-2.00
Cu (0.8323, 0.8335, 0.6646)  4 O 2.01-2.02
O (0.6239, 0.2318, 0.6697)  3 Cr 1.96-1.97, 1 Cd 2.11
O (0.9542, 0.5621, 0.3303)  3 Cr 1.96-1.97, 1 Cd 2.11
O (0.2771, 0.8826, 0.0000)  3 Cr 1.97-1.98, 1 Cu 1.97
O (0.4455, 0.0304, 0.3322)  3 Cr 1.97-1.98, 1 Cu 2.01
O (0.7744, 0.3560, 0.0000)  3 Cr 1.97-1.99, 1 Cu 2.00
O (0.1133, 0.6982, 0.6678)  3 Cr 1.97-1.98, 1 Cu 2.01
O (0.3761, 0.5621, 0.3303)  3 Cr 1.96-1.97, 1 Cd 2.11
O (0.7229, 0.8826, 0.0000)  3 Cr 1.97-1.98, 1 Cu 1.97
O (0.0458, 0.2318, 0.6697)  3 Cr 1.96-1.97, 1 Cd 2.11
O (0.8867, 0.0304, 0.3322)  3 Cr 1.97-1.98, 1 Cu 2.01
O (0.2256, 0.3560, 0.0000)  3 Cr 1.97-1.99, 1 Cu 2.00
O (0.5545, 0.6982, 0.6678)  3 Cr 1.97-1.98, 1 Cu 2.01
O (0.2354, 0.8453, 0.4709)  3 Cr 1.96-1.97, 1 Cd 2.11
O (0.5697, 0.1692, 0.1394)  3 Cr 1.94-1.96, 1 Cd 2.11
O (0.9096, 0.5238, 0.8192)  1 Cu 1.97, 3 Cr 1.97-1.98
O (0.5912, 0.7267, 0.1824)  3 Cr 1.95-1.96, 1 Cu 1.99
O (0.9251, 0.0645, 0.8502)  3 Cr 1.97-2.00, 1 Cu 2.01
O (0.2613, 0.4012, 0.5226)  3 Cr 1.98-1.99, 1 Cu 2.02
O (0.7646, 0.3744, 0.5291)  3 Cr 1.96-1.97, 1 Cd 2.11
O (0.0904, 0.7046, 0.1808)  1 Cu 1.97, 3 Cr 1.97-1.98
O (0.4303, 0.0298, 0.8606)  3 Cr 1.94-1.96, 1 Cd 2.11
O (0.7387, 0.8786, 0.4774)  3 Cr 1.98-1.99, 1 Cu 2.02
O (0.0749, 0.2143, 0.1498)  3 Cr 1.97-2.00, 1 Cu 2.01
O (0.4088, 0.5443, 0.8176)  3 Cr 1.95-1.96, 1 Cu 1.99

Output
Final energy (eV per cell): -336.59
Space group: Imm2
ρ (g/cm³): 5.6

---

(4)
Density functional theory data (PBEsol) for a geometry-optimized Cr6CdCu2O12 structure.

Lattice parameters (Å, degrees): 5.9146 5.9146 13.2076 102.94 102.94 90.00
Closest atoms and distances in Å follow each position.
Atoms (fractional coordinates):
Cr (0.5425, 0.7958, 0.0849)  6 O 1.97-1.98
Cr (0.2110, 0.4575, 0.4220)  6 O 1.94-1.98
Cr (0.8724, 0.1283, 0.7449)  6 O 1.96-1.99
Cr (0.8724, 0.6165, 0.7449)  6 O 1.96-1.99
Cr (0.5425, 0.2892, 0.0849)  6 O 1.97-1.98
Cr (0.2110, 0.9645, 0.4220)  6 O 1.94-1.98
Cr (0.7108, 0.4575, 0.9151)  6 O 1.97-1.98
Cr (0.3835, 0.1276, 0.2551)  6 O 1.96-1.99
Cr (0.0355, 0.7890, 0.5780)  6 O 1.94-1.98
Cr (0.5425, 0.7890, 0.5780)  6 O 1.94-1.98
Cr (0.2042, 0.4575, 0.9151)  6 O 1.97-1.98
Cr (0.8717, 0.1276, 0.2551)  6 O 1.96-1.99
Cd (0.4146, 0.9146, 0.8292)  4 O 2.11
Cd (0.0854, 0.5854, 0.1708)  4 O 2.11
Cu (0.7500, 0.2500, 0.5000)  4 O 1.97
Cu (0.3319, 0.3319, 0.6637)  4 O 1.99-2.01
Cu (0.0000, 0.0000, 0.0000)  4 O 2.03
Cu (0.6681, 0.6681, 0.3363)  4 O 1.99-2.01
O (0.6571, 0.8661, 0.7321)  3 Cr 1.94-1.96, 1 Cd 2.11
O (0.3224, 0.5355, 0.0709)  3 Cr 1.97, 1 Cd 2.11
O (0.9847, 0.2065, 0.4130)  3 Cr 1.96-1.99, 1 Cu 1.97
O (0.6548, 0.3785, 0.7571)  3 Cr 1.96-1.98, 1 Cu 2.01
O (0.3234, 0.0483, 0.0965)  3 Cr 1.98-1.99, 1 Cu 2.03
O (0.9931, 0.7118, 0.4235)  3 Cr 1.95-1.98, 1 Cu 1.99
O (0.7485, 0.5355, 0.0709)  3 Cr 1.97, 1 Cd 2.11
O (0.4283, 0.2065, 0.4130)  3 Cr 1.96-1.99, 1 Cu 1.97
O (0.0750, 0.8661, 0.7321)  3 Cr 1.94-1.96, 1 Cd 2.11
O (0.1023, 0.3785, 0.7571)  3 Cr 1.96-1.98, 1 Cu 2.01
O (0.7731, 0.0483, 0.0965)  3 Cr 1.98-1.99, 1 Cu 2.03
O (0.4305, 0.7118, 0.4235)  3 Cr 1.95-1.98, 1 Cu 1.99
O (0.4645, 0.6776, 0.9291)  3 Cr 1.97, 1 Cd 2.11
O (0.1339, 0.3429, 0.2679)  3 Cr 1.94-1.96, 1 Cd 2.11
O (0.7935, 0.0153, 0.5870)  3 Cr 1.96-1.99, 1 Cu 1.97
O (0.9517, 0.2269, 0.9035)  3 Cr 1.98-1.99, 1 Cu 2.03
O (0.6215, 0.8977, 0.2429)  3 Cr 1.96-1.98, 1 Cu 2.01
O (0.2882, 0.5695, 0.5765)  3 Cr 1.95-1.98, 1 Cu 1.99
O (0.7935, 0.5717, 0.5870)  3 Cr 1.96-1.99, 1 Cu 1.97
O (0.4645, 0.2515, 0.9291)  3 Cr 1.97, 1 Cd 2.11
O (0.1339, 0.9250, 0.2679)  3 Cr 1.94-1.96, 1 Cd 2.11
O (0.9517, 0.6766, 0.9035)  3 Cr 1.98-1.99, 1 Cu 2.03
O (0.6215, 0.3452, 0.2429)  3 Cr 1.96-1.98, 1 Cu 2.01
O (0.2882, 0.0069, 0.5765)  3 Cr 1.95-1.98, 1 Cu 1.99

Output
Final energy (eV per cell): -336.58
Space group: I-4m2
ρ (g/cm³): 5.6

---

(5)
Density functional theory data (PBEsol) for a geometry-optimized Cr8Cd3CuS16 structure.

Lattice parameters (Å, degrees): 7.1137 7.1137 12.2346 73.10 73.10 60.00
Closest atoms and distances in Å follow each position.
Atoms (fractional coordinates):
Cr (0.4337, 0.9367, 0.1959)  6 S 2.35-2.40
Cr (0.9383, 0.4420, 0.6814)  6 S 2.35-2.40
Cr (0.9367, 0.4337, 0.1959)  6 S 2.35-2.40
Cr (0.4420, 0.9383, 0.6814)  6 S 2.35-2.40
Cr (0.1911, 0.1911, 0.4267)  6 S 2.37-2.39
Cr (0.6871, 0.6871, 0.9388)  6 S 2.37-2.38
Cr (0.4337, 0.4337, 0.1959)  6 S 2.35-2.40
Cr (0.9383, 0.9383, 0.6814)  6 S 2.35-2.40
Cd (0.3744, 0.3744, 0.8767)  4 S 2.47-2.48
Cd (0.9998, 0.9998, 0.0005)  4 S 2.47
Cd (0.4984, 0.4984, 0.5049)  4 S 2.44
Cu (0.8749, 0.8749, 0.3753)  4 S 2.27-2.29
S (0.7871, 0.3520, 0.0738)  3 Cr 2.37-2.40, 1 Cd 2.47
S (0.2888, 0.8566, 0.5658)  3 Cr 2.35-2.39, 1 Cd 2.44
S (0.3520, 0.7871, 0.0738)  3 Cr 2.37-2.40, 1 Cd 2.47
S (0.8566, 0.2888, 0.5658)  3 Cr 2.35-2.39, 1 Cd 2.44
S (0.5690, 0.5690, 0.2930)  3 Cr 2.35, 1 Cd 2.44
S (0.0713, 0.0713, 0.7862)  3 Cr 2.40, 1 Cd 2.47
S (0.7871, 0.7871, 0.0738)  3 Cr 2.37-2.40, 1 Cd 2.47
S (0.2888, 0.2888, 0.5658)  3 Cr 2.35-2.39, 1 Cd 2.44
S (0.0726, 0.5458, 0.3089)  1 Cu 2.29, 3 Cr 2.37-2.38
S (0.5874, 0.0230, 0.8021)  3 Cr 2.38, 1 Cd 2.47
S (0.5458, 0.0726, 0.3089)  1 Cu 2.29, 3 Cr 2.37-2.38
S (0.0230, 0.5874, 0.8021)  3 Cr 2.38, 1 Cd 2.47
S (0.3028, 0.3028, 0.0917)  3 Cr 2.37, 1 Cd 2.48
S (0.8093, 0.8093, 0.5722)  1 Cu 2.27, 3 Cr 2.40
S (0.0726, 0.0726, 0.3089)  1 Cu 2.29, 3 Cr 2.37-2.38
S (0.5874, 0.5874, 0.8021)  3 Cr 2.38, 1 Cd 2.47

Output
Final energy (eV per cell): -178.51
Space group: R3m
ρ (g/cm³): 4.4

---

(6)
Density functional theory data (PBEsol) for a geometry-optimized Cr2CdIrF structure.

Lattice parameters (Å, degrees): 3.9555 5.0244 5.0244 90.00 90.00 90.00
Closest atoms and distances in Å follow each position.
Atoms (fractional coordinates):
Cr (0.0000, 0.0000, 0.5000)  2 Cd 2.51
Cr (0.0000, 0.5000, 0.0000)  2 Cd 2.51
F (0.5000, 0.0000, 0.0000)  2 Cd 1.98
Ir (0.5000, 0.5000, 0.5000)  8 Cr 3.20, 4 F 3.55
Cd (0.0000, 0.0000, 0.0000)  2 F 1.98

Output
Final energy (eV per cell): -26.21
Space group: P4/mmm
ρ (g/cm³): 7.1

---

(7)
Density functional theory data (PBEsol) for a geometry-optimized CrCdNF2 structure.

Lattice parameters (Å, degrees): 3.9351 3.9351 3.8301 90.00 90.00 90.00
Closest atoms and distances in Å follow each position.
Atoms (fractional coordinates):
Cr (0.0000, 0.0000, 0.0000)  2 N 1.92, 4 F 1.97
N (0.0000, 0.0000, 0.5000)  2 Cr 1.92
F (0.0000, 0.5000, 0.0000)  2 Cr 1.97
F (0.5000, 0.0000, 0.0000)  2 Cr 1.97
Cd (0.5000, 0.5000, 0.5000)  8 F 2.75, 4 N 2.78

Output
Final energy (eV per cell): -29.06
Space group: P4/mmm
ρ (g/cm³): 6.1

---

(8)
Density functional theory data (PBEsol) for a geometry-optimized Cr2CdFe structure.

Lattice parameters (Å, degrees): 2.8656 2.8656 6.4650 90.00 90.00 90.00
Closest atoms and distances in Å follow each position.
Atoms (fractional coordinates):
Cd (0.0000, 0.0000, 0.7426)  4 Fe 2.75, 4 Cr 2.85, 4 Cd 2.87
Cr (0.5000, 0.5000, 0.0531)  4 Cr 2.39, 1 Fe 2.59
Cr (0.0000, 0.0000, 0.2500)  4 Cr 2.39, 4 Fe 2.42
Fe (0.5000, 0.5000, 0.4543)  5 Cr 2.42-2.59

Output
Space group: P4mm
DFT formation energy (eV/atom): 0.33
ρ (g/cm³): 8.5

---

(9)
Density functional theory data (PBEsol) for a geometry-optimized CrCdFe structure.

Lattice parameters (Å, degrees): 2.6153 2.6153 6.6069 97.48 97.48 110.02
Closest atoms and distances in Å follow each position.
Atoms (fractional coordinates):
Cd (0.0011, 0.0011, 0.0023)  4 Cd 2.62, 2 Fe 2.77, 2 Cr 2.81
Cr (0.3165, 0.3165, 0.6330)  2 Fe 2.29
Fe (0.6823, 0.6823, 0.3647)  2 Cr 2.29

Output
Space group: Fmm2
Offset from the most stable computed form (eV per formula unit): 0.38
DFT formation energy (eV/atom): 0.45
ρ (g/cm³): 8.8

---

(10)
Density functional theory data (PBEsol) for a geometry-optimized Cr2CdFe structure.

Lattice parameters (Å, degrees): 2.9572 4.3424 4.8633 116.52 107.70 90.00
Closest atoms and distances in Å follow each position.
Atoms (fractional coordinates):
Cd (0.2538, 0.7538, 0.5075)  8 Cr 2.63-2.83, 4 Fe 2.69-2.85
Cr (0.0315, 0.0315, 0.0631)  2 Cr 2.23
Cr (0.7349, 0.2349, 0.4698)  2 Cr 2.23, 2 Fe 2.49
Fe (0.4798, 0.4798, 0.9596)  6 Cr 2.49-2.66, 2 Cd 2.69

Output
Space group: Imm2
DFT formation energy (eV/atom): 0.51
ρ (g/cm³): 8.6

---

(11)
Density functional theory data (PBEsol) for a geometry-optimized CrCdFe structure.

Lattice parameters (Å, degrees): 2.7570 2.7570 5.6404 104.15 104.15 90.00
Closest atoms and distances in Å follow each position.
Atoms (fractional coordinates):
Cd (0.9968, 0.9968, 0.9936)  4 Cd 2.76, 4 Fe 2.80, 4 Cr 2.87
Cr (0.6958, 0.6958, 0.3915)  4 Fe 2.28
Fe (0.3074, 0.3074, 0.6149)  4 Cr 2.28

Output
Space group: I4mm
Offset from the most stable computed form (eV per formula unit): 0.00
DFT formation energy (eV/atom): 0.32
ρ (g/cm³): 9.1

---

(12)
Density functional theory data (PBEsol) for a geometry-optimized Cr2CdFe structure.

Lattice parameters (Å, degrees): 2.6255 2.6255 8.7643 81.39 81.39 60.00
Closest atoms and distances in Å follow each position.
Atoms (fractional coordinates):
Cd (0.2476, 0.2476, 0.2572)  6 Cd 2.63, 3 Fe 2.82, 3 Cr 2.88
Cr (0.0090, 0.0090, 0.9730)  9 Cr 2.54-2.63
Cr (0.7542, 0.7542, 0.7375)  3 Fe 2.33, 3 Cr 2.54
Fe (0.4893, 0.4893, 0.5322)  3 Cr 2.33

Output
Space group: R3m
DFT formation energy (eV/atom): 0.49
ρ (g/cm³): 8.8

---

Among the records above, which one has the highest ρ?
number 11